# Th12B5N3 (PBE-GGA, optimized geometry)
data_Th12B5N3
_chemical_formula_sum 'Th96 B40 N24'
_cell_length_a 15.517
_cell_length_b 15.517
_cell_length_c 15.517
_cell_angle_alpha 90.00
_cell_angle_beta 90.00
_cell_angle_gamma 90.00
_symmetry_space_group_name_H-M 'I a -3 d'
_symmetry_Int_Tables_number 230
_symmetry_space_group_name_Hall '-I 4bd 2c 3'
loop_
_atom_site_label
_atom_site_fract_x
_atom_site_fract_y
_atom_site_fract_z
Th1 0.024 0.068 0.651
B1 0.000 0.000 0.000
B2 0.000 0.250 0.375
N1 0.000 0.250 0.125
# Total DFT energy (no corrections), eV/atom: -7.17
# Fermi-level density of states, states/eV/cell: 124.208
# Size of the total moment, μB/cell: 0.0
# Formation energy from raw total energies, eV/atom: 0.20